Entry 1:
# VSiTc3 (PBE, relaxed)
data_VSiTc3
_cell_length_a 4.450
_cell_length_b 4.450
_cell_length_c 4.450
_cell_angle_alpha 90.00
_cell_angle_beta 90.00
_cell_angle_gamma 90.00
_symmetry_space_group_name_H-M 'P m -3 m'
_symmetry_Int_Tables_number 221
_symmetry_space_group_name_Hall '-P 4 2 3'
loop_
_atom_site_label
_atom_site_fract_x
_atom_site_fract_y
_atom_site_fract_z
V1 0.000 0.000 0.000
Si1 0.500 0.500 0.500
Tc1 0.000 0.000 0.500
# Total moment = 2.3 μB/cell
# Formation energy from raw total energies = 1.324 eV/atom



Entry 2:
# LiPm2Er3Te6 (PBE, relaxed)
data_LiPm2Er3Te6
_cell_length_a 19.090
_cell_length_b 4.348
_cell_length_c 8.758
_cell_angle_alpha 90.00
_cell_angle_beta 103.51
_cell_angle_gamma 90.00
_symmetry_space_group_name_H-M 'C 1 2/m 1'
_symmetry_Int_Tables_number 12
loop_
_symmetry_equiv_pos_as_xyz
'x,y,z'
'-x,-y,-z'
'-x,y,-z'
'x,-y,z'
'x+1/2,y+1/2,z'
'-x+1/2,-y+1/2,-z'
'-x+1/2,y+1/2,-z'
'x+1/2,-y+1/2,z'
loop_
_atom_site_label
_atom_site_fract_x
_atom_site_fract_y
_atom_site_fract_z
Li1 0.000 0.000 0.000
Pm1 0.171 0.500 0.343
Er1 0.000 0.000 0.500
Er2 0.170 0.500 0.832
Te1 0.002 0.500 0.755
Te2 0.162 0.000 0.592
Te3 0.163 0.000 0.074
# Total moment = 0.0 μB/cell
# Formation energy from raw total energies = -1.317 eV/atom